! PBE Nd4Hg3N, optimized geometry; values from VASP
! Formation energy (no corrections): -4.62 eV/f.u.
! DFT total energy: -4.116 eV/atom
! Density of states at the Fermi level: 1.1507 states/eV per atom
&SYSTEM
  ibrav = 0, nat = 8, ntyp = 3
/
ATOMIC_SPECIES
Nd 144.24 Nd.upf
Hg 200.59 Hg.upf
N 14.01 N.upf
CELL_PARAMETERS angstrom
-3.821 3.821 3.821
3.821 -3.821 3.821
3.821 3.821 -3.821
ATOMIC_POSITIONS crystal
Nd 0.000 0.000 0.646
Nd 0.000 0.646 0.000
Nd 0.354 0.354 0.354
Nd 0.646 0.000 0.000
Hg 0.000 0.500 0.500
Hg 0.500 0.000 0.500
Hg 0.500 0.500 0.000
N 0.000 0.000 0.000